Record 1
Material: PmCdSbPd
Method: DFT, PBE
State: relaxed

The calculation puts the raw formation energy at -0.49 eV/atom.

Cell and atoms, written as extended XYZ:
```
4
Lattice="0.0000 3.6059 3.6059 3.6059 0.0000 3.6059 3.6059 3.6059 0.0000" Properties=species:S:1:pos:R:3 pbc="T T T"
Pm 0.0000 0.0000 0.0000
Cd 3.6059 3.6059 3.6059
Sb 1.8030 1.8030 1.8030
Pd 5.4089 5.4089 5.4089
```

***

Record 2
Material: Zn2PtN2
Method: DFT, PBE
State: relaxed

As for the excess energy over the best structure of this formula in the dataset: 0 meV per atom. The calculation puts the raw formation energy at 0.87 eV/atom.

Cell and atoms, written as extended XYZ:
```
5
Lattice="-1.4544 1.4544 6.8967 1.4544 -1.4544 6.8967 1.4544 1.4544 -6.8967" Properties=species:S:1:pos:R:3 pbc="T T T"
Zn 0.0000 0.0000 1.7716
Zn 0.0000 0.0000 12.0218
Pt 0.0000 0.0000 6.8967
N 1.4544 0.0000 3.4484
N 0.0000 1.4544 3.4484
```

***

Record 3
Material: Nd3Ho8Er3
Method: DFT, PBE
State: relaxed

The value obtained for the formation energy is 109 meV per atom.

Cell and atoms, written as extended XYZ:
```
14
Lattice="-2.8133 5.3936 7.4718 2.8133 -5.3936 7.4718 2.8133 5.3936 -7.4718" Properties=species:S:1:pos:R:3 pbc="T T T"
Nd 0.0000 0.0000 0.0000
Nd 2.8133 0.0000 2.7268
Nd 0.0000 5.3936 4.7450
Ho 2.8133 3.6652 -3.2999
Ho 2.8133 -1.7004 5.9386
Ho 0.0000 1.7284 4.1719
Ho 0.0000 3.6932 1.5332
Ho 2.8133 1.7004 5.9386
Ho 2.8133 3.6652 3.2999
Ho 0.0000 7.0939 1.5332
Ho 0.0000 1.7284 10.7716
Er 2.8133 2.2114 0.0000
Er 0.0000 0.0000 7.4718
Er 0.0000 3.1821 7.4718
```

***

Record 4
Material: La2PrNdBi5
Method: DFT, PBE
State: relaxed

The value obtained for the formation energy is -189 meV per atom.

Cell and atoms, written as extended XYZ:
```
9
Lattice="5.5780 0.0000 0.0000 0.0000 5.5780 0.0000 0.0000 0.0000 12.2041" Properties=species:S:1:pos:R:3 pbc="T T T"
La 0.0000 0.0000 2.7206
La 0.0000 0.0000 9.4835
Pr 2.7890 2.7890 6.1020
Nd 2.7890 2.7890 0.0000
Bi 0.0000 0.0000 6.1020
Bi 0.0000 2.7890 0.0000
Bi 2.7890 0.0000 0.0000
Bi 2.7890 2.7890 3.0815
Bi 2.7890 2.7890 9.1226
```

***

Record 5
Material: Mg4CdRh
Method: DFT, PBE
State: relaxed

The value obtained for the formation energy is -111 meV per atom. As for the excess energy over the best structure of this formula in the dataset: 135 meV per atom.

Cell and atoms, written as extended XYZ:
```
6
Lattice="4.4283 0.0000 0.0000 0.0000 4.4283 0.0000 0.0000 0.0000 7.0945" Properties=species:S:1:pos:R:3 pbc="T T T"
Mg 0.0000 2.2142 1.5052
Mg 0.0000 2.2142 5.5893
Mg 2.2142 0.0000 1.5052
Mg 2.2142 0.0000 5.5893
Cd 0.0000 0.0000 3.5472
Rh 2.2142 2.2142 0.0000
```

***

Record 6
Material: CeNd3Zn2
Method: DFT, PBE
State: relaxed

The value obtained for the formation energy is -106 meV per atom. As for the excess energy over the best structure of this formula in the dataset: 67 meV per atom.

Cell and atoms, written as extended XYZ:
```
6
Lattice="3.6062 0.0000 0.0000 0.0071 5.3967 0.0000 0.0135 2.6848 8.2699" Properties=species:S:1:pos:R:3 pbc="T T T"
Ce 0.0000 0.0000 0.0000
Nd 1.8120 2.6911 5.3268
Nd 1.8067 2.6984 0.0000
Nd 1.8148 5.3904 2.9431
Zn 3.6128 2.6954 2.5940
Zn 0.0140 5.3861 5.6759
```

***

Record 7
Material: CaSb2HW
Method: DFT, PBE
State: relaxed

Cell and atoms, written as extended XYZ:
```
5
Lattice="5.0845 0.0000 0.0000 0.0000 5.0845 0.0000 0.0000 0.0000 3.6582" Properties=species:S:1:pos:R:3 pbc="T T T"
Ca 0.0000 0.0000 0.0000
Sb 0.0000 2.5423 1.8291
Sb 2.5423 0.0000 1.8291
H 2.5423 2.5423 1.8291
W 2.5423 2.5423 0.0000
```

***

Record 8
Material: HoPa2Tc2
Method: DFT, PBE
State: relaxed

The value obtained for the formation energy is 119 meV per atom. As for the excess energy over the best structure of this formula in the dataset: 281 meV per atom.

Cell and atoms, written as extended XYZ:
```
10
Lattice="4.7568 -5.0636 0.0000 4.7568 5.0636 0.0000 -4.6856 0.0000 5.2298" Properties=species:S:1:pos:R:3 pbc="T T T"
Ho 1.2426 3.7953 3.9223
Ho 3.5854 -3.7953 1.3074
Pa -1.1429 1.2495 4.8242
Pa 1.1998 -1.2495 2.2093
Pa 3.6281 1.2495 3.0205
Pa 5.9709 -1.2495 0.4056
Tc 3.5854 3.4094 1.3074
Tc 1.2426 0.8947 3.9223
Tc 3.5854 -0.8947 1.3074
Tc 1.2426 -3.4094 3.9223
```

***

Record 9
Material: CeNdEu2
Method: DFT, PBE
State: relaxed

The value obtained for the formation energy is 198 meV per atom. As for the excess energy over the best structure of this formula in the dataset: 0 meV per atom.

Cell and atoms, written as extended XYZ:
```
4
Lattice="3.6570 0.0000 0.0000 0.0000 3.6570 0.0000 0.0000 0.0000 10.8424" Properties=species:S:1:pos:R:3 pbc="T T T"
Ce 0.0000 0.0000 0.0000
Nd 0.0000 0.0000 5.4212
Eu 1.8285 1.8285 2.6829
Eu 1.8285 1.8285 8.1595
```

***

Record 10
Material: NaPm2USe5
Method: DFT, PBE
State: relaxed

The calculation puts the raw formation energy at -1.36 eV/atom.

Cell and atoms, written as extended XYZ:
```
9
Lattice="-2.6304 3.6942 7.2782 2.6304 -3.6942 7.2782 2.6304 3.6942 -7.2782" Properties=species:S:1:pos:R:3 pbc="T T T"
Na 0.0000 0.0000 0.0000
Pm 2.6304 0.0000 4.3412
Pm 0.0000 3.6942 2.9371
U 0.0000 0.0000 7.2782
Se 2.6304 1.9014 -2.1925
Se 2.6304 1.9014 2.1925
Se 0.0000 3.6942 0.0000
Se 0.0000 1.7928 5.0858
Se 0.0000 1.7928 9.4707
```

***

Record 11
Material: Pm5Er2Tm2
Method: DFT, PBE
State: relaxed

The value obtained for the formation energy is 178 meV per atom. As for the excess energy over the best structure of this formula in the dataset: 157 meV per atom.

Cell and atoms, written as extended XYZ:
```
18
Lattice="-7.5152 6.4027 3.0866 7.5152 -6.4027 3.0866 7.5152 6.4027 -3.0866" Properties=species:S:1:pos:R:3 pbc="T T T"
Pm 9.6792 4.0312 -0.9913
Pm 5.3512 -2.3715 2.0953
Pm 0.7325 2.5579 0.0000
Pm 6.7827 2.5579 0.0000
Pm -2.1640 2.3715 2.0953
Pm 9.6792 2.3715 2.0953
Pm 3.7576 4.1340 1.5339
Pm 0.7325 3.8449 3.0866
Pm 6.7827 3.8449 3.0866
Pm 3.7576 2.2687 4.6205
Er 3.7576 5.6948 -1.3932
Er 3.7576 0.7079 1.6934
Er 0.0000 0.0000 2.4988
Er 7.5152 0.0000 2.4988
Tm -2.0301 5.7714 2.1211
Tm 2.0301 -0.6314 5.2077
Tm 2.0301 7.0341 2.1211
Tm 5.4851 7.0341 2.1211
```

***

In eV per atom, the E_tot values for the records above are, in order, -4.237; -4.180; -4.507; -4.500; -2.552; -3.904; -5.036; -8.741; -7.615; -5.755; -4.469.